(1)
Below is B7C5 after structural relaxation, with properties calculated at the PBE level.

Properties
V ... 92.21 Å³ per cell
SG ... P3m1, No. 156
M_tot ... 0.00 μB per formula unit
E_form ... 4.9 eV/f.u.

a = 2.6362 Å, b = 2.6362 Å, c = 15.3204 Å
α = 90.00°, β = 90.00°, γ = 120.00°
Fractional positions:
B 0.6667 0.3333 0.8227
B 0.0000 0.0000 0.8896
B 0.3333 0.6667 0.6765
B 0.6667 0.3333 0.3846
B 0.0000 0.0000 0.4943
B 0.3333 0.6667 0.5656
B 0.6667 0.3333 0.1480
C 0.6667 0.3333 0.7229
C 0.0000 0.0000 0.3921
C 0.3333 0.6667 0.1343
C 0.0000 0.0000 0.9931
C 0.3333 0.6667 0.0265

(2)
Below is BC after structural relaxation, with properties calculated at the PBE level.

Properties
V ... 81.98 Å³ per cell
SG ... Cm, No. 8
M_tot ... 0.00 μB per formula unit
E_form ... 0.9 eV/f.u.

a = 7.2405 Å, b = 7.3144 Å, c = 7.3144 Å
α = 159.90°, β = 141.90°, γ = 43.49°
Fractional positions:
B 0.0554 0.3527 0.7027
B 0.5473 0.2777 0.2696
B 0.1352 0.1193 0.0160
B 0.6391 0.9568 0.6823
B 0.1606 0.7886 0.3720
B 0.9580 0.6658 0.2922
C 0.5026 0.1618 0.3408
C 0.0080 0.9990 0.0089
C 0.5233 0.8353 0.6881
C 0.5989 0.6201 0.9788
C 0.4878 0.5057 0.9820
C 0.1338 0.4672 0.6666

(3)
Below is BC after structural relaxation, with properties calculated at the PBE level.

Properties
V ... 80.05 Å³ per cell
SG ... Pm, No. 6
M_tot ... 0.00 μB per formula unit
E_form ... 0.8 eV/f.u.

a = 2.6783 Å, b = 3.5186 Å, c = 8.5462 Å
α = 83.66°, β = 90.00°, γ = 90.00°
Fractional positions:
B 0.5000 0.5722 0.1986
B 0.0000 0.4011 0.0999
B 0.0000 0.9708 0.9981
B 0.5000 0.6228 0.9884
B 0.5000 0.5119 0.5060
B 0.0000 0.0080 0.3737
C 0.0000 0.2578 0.5198
C 0.5000 0.8144 0.3383
C 0.5000 0.4376 0.8165
C 0.0000 0.1934 0.8173
C 0.0000 0.9774 0.6684
C 0.5000 0.7326 0.6751